A plane-wave DFT calculation with PBE was carried out for Sm4ErAl after structural relaxation.

As for the crystal system: tetragonal. The formation energy from the elements comes out at -0.10 eV per atom. The value obtained for the excess energy over the best structure of this formula in the dataset is 0.0 kJ per mole of atoms. As for the raw total energy: -4.6322 eV per atom.

The space group is P4/mmm (No. 123) and the conventional cell measures 3.573, 3.573 and 14.310 Å, with angles of 90.00, 90.00 and 90.00 degrees. The inequivalent atoms are Sm at (0.000, 0.000, 0.137), Sm at (0.500, 0.500, 0.323), Er at (0.000, 0.000, 0.500) and Al at (0.500, 0.500, 0.000).